Run w
A plane-wave DFT calculation with PBE was carried out for an optimized crystal structure of MgSiO.

Computed properties:
Magnetization, μB/f.u.: 0.00
Density, g cm⁻³: 2.75
SG: Cm (8)

The structure in extended XYZ format:
```
6
Lattice="4.878 -1.478 0.000 4.878 1.478 0.000 -4.056 0.000 5.723" Properties=species:S:1:pos:R:3 pbc="T T T"
Mg 0.000 0.000 0.000
Mg -0.228 0.000 2.873
Si 2.947 0.000 4.483
Si 7.169 0.000 1.164
O 1.187 0.000 4.355
O 5.385 0.000 1.535
```

Run x
A plane-wave DFT calculation with PBE was carried out for an optimized crystal structure of MgSiO.

Computed properties:
Magnetization, μB/f.u.: 0.00
Density, g cm⁻³: 2.62
SG: Cm (8)

The structure in extended XYZ format:
```
6
Lattice="4.902 -1.658 0.000 4.902 1.658 0.000 -1.305 0.000 5.327" Properties=species:S:1:pos:R:3 pbc="T T T"
Mg 0.000 0.000 0.000
Mg 4.389 0.000 2.702
Si 1.823 0.000 3.664
Si 7.136 0.000 1.921
O 0.070 0.000 3.783
O 5.600 0.000 1.055
```

Which structure loses on stability? run w does.

Run w
A plane-wave DFT calculation with PBE was carried out for an optimized crystal structure of MgSiO.

Computed properties:
Magnetization, μB/f.u.: 0.00
Density, g cm⁻³: 2.60
SG: Ama2 (40)

The structure in extended XYZ format:
```
6
Lattice="3.474 0.000 0.000 0.000 5.668 2.218 0.000 -5.668 2.218" Properties=species:S:1:pos:R:3 pbc="T T T"
Mg 0.869 -3.844 2.218
Mg 2.606 3.844 2.218
Si 0.869 -0.745 2.090
Si 2.606 0.745 2.090
O 0.869 -2.065 3.266
O 2.606 2.065 3.266
```

Run x
A plane-wave DFT calculation with PBE was carried out for an optimized crystal structure of MgSiO.

Computed properties:
Magnetization, μB/f.u.: 0.00
Density, g cm⁻³: 2.83
SG: Amm2 (38)

The structure in extended XYZ format:
```
6
Lattice="10.028 0.000 0.000 0.000 1.455 2.748 0.000 -1.455 2.748" Properties=species:S:1:pos:R:3 pbc="T T T"
Mg 2.292 0.000 0.000
Mg 7.735 0.000 0.000
Si 0.000 0.000 1.909
Si 5.014 0.000 1.126
O 3.271 0.000 3.745
O 6.757 0.000 3.745
```

Which structure loses on stability? run x does.

Run w
A plane-wave DFT calculation with PBE was carried out for an optimized crystal structure of MgSiO.

Computed properties:
Magnetization, μB/f.u.: 0.00
Density, g cm⁻³: 2.69
SG: C2/m (12)

The structure in extended XYZ format:
```
6
Lattice="5.459 -1.487 0.000 5.459 1.487 0.000 -0.751 0.000 5.199" Properties=species:S:1:pos:R:3 pbc="T T T"
Mg 1.346 0.000 1.703
Mg 8.822 0.000 3.496
Si 4.429 0.000 0.704
Si 5.738 0.000 4.495
O 3.404 0.000 2.081
O 6.763 0.000 3.118
```

Run x
A plane-wave DFT calculation with PBE was carried out for an optimized crystal structure of MgSiO.

Computed properties:
Magnetization, μB/f.u.: 0.00
Density, g cm⁻³: 2.76
SG: Cm (8)

The structure in extended XYZ format:
```
3
Lattice="2.753 -1.560 0.000 2.753 1.560 0.000 -1.857 0.000 4.793" Properties=species:S:1:pos:R:3 pbc="T T T"
Mg 0.000 0.000 0.000
Si 1.825 0.000 2.679
O 1.821 0.000 0.941
```

Which structure loses on stability? run w does.